Entry 1:
DFT (SCAN) results for a PBEsol-optimized structure of Cu2NiBr.

```
data_Cu2NiBr
_cell_length_a 5.986
_cell_length_b 5.986
_cell_length_c 5.986
_cell_angle_alpha 90.00
_cell_angle_beta 90.00
_cell_angle_gamma 90.00
_symmetry_space_group_name_H-M 'F -4 3 m'
_symmetry_Int_Tables_number 216
_symmetry_space_group_name_Hall 'F -4 2 3'
loop_
_atom_site_label
_atom_site_type_symbol
_atom_site_fract_x
_atom_site_fract_y
_atom_site_fract_z
_atom_site_occupancy
Cu1 Cu 0.000 0.000 0.000 1
Cu2 Cu 0.250 0.250 0.250 1
Ni1 Ni 0.250 0.250 0.750 1
Br1 Br 0.000 0.000 0.500 1
```

Calculated values
energy above the most stable polymorph in this dataset = 0.053 eV per atom
ΔE_f (raw) = 658.1 meV/atom
total energy = -253.6 eV for the cell shown

Entry 2:
DFT (SCAN) results for a PBEsol-optimized structure of Cu2NiBr.

```
data_Cu2NiBr
_cell_length_a 3.568
_cell_length_b 3.568
_cell_length_c 8.291
_cell_angle_alpha 90.00
_cell_angle_beta 90.00
_cell_angle_gamma 90.00
_symmetry_space_group_name_H-M 'I 4/m m m'
_symmetry_Int_Tables_number 139
_symmetry_space_group_name_Hall '-I 4 2'
loop_
_atom_site_label
_atom_site_type_symbol
_atom_site_fract_x
_atom_site_fract_y
_atom_site_fract_z
_atom_site_occupancy
Cu1 Cu 0.000 0.500 0.250 1
Ni1 Ni 0.000 0.000 0.000 1
Br1 Br 0.000 0.000 0.500 1
```

Calculated values
energy above the most stable polymorph in this dataset = 0.000 eV per atom
ΔE_f (raw) = 604.7 meV/atom
total energy = -127.2 eV for the cell shown

Entry 3:
DFT (SCAN) results for a PBEsol-optimized structure of Cu2NiBr.

```
data_Cu2NiBr
_cell_length_a 6.031
_cell_length_b 6.031
_cell_length_c 6.031
_cell_angle_alpha 90.00
_cell_angle_beta 90.00
_cell_angle_gamma 90.00
_symmetry_space_group_name_H-M 'F m -3 m'
_symmetry_Int_Tables_number 225
_symmetry_space_group_name_Hall '-F 4 2 3'
loop_
_atom_site_label
_atom_site_type_symbol
_atom_site_fract_x
_atom_site_fract_y
_atom_site_fract_z
_atom_site_occupancy
Cu1 Cu 0.250 0.250 0.250 1
Ni1 Ni 0.000 0.000 0.000 1
Br1 Br 0.000 0.000 0.500 1
```

Calculated values
energy above the most stable polymorph in this dataset = 0.156 eV per atom
ΔE_f (raw) = 760.4 meV/atom
total energy = -252.0 eV for the cell shown

Entry 4:
DFT (SCAN) results for a PBEsol-optimized structure of Sr2Cu2TeBr2O6.

```
data_Sr2Cu2TeBr2O6
_cell_length_a 9.274
_cell_length_b 5.237
_cell_length_c 9.294
_cell_angle_alpha 90.00
_cell_angle_beta 95.23
_cell_angle_gamma 90.00
_symmetry_space_group_name_H-M 'P 1 21/c 1'
_symmetry_Int_Tables_number 14
loop_
_symmetry_equiv_pos_as_xyz
'x,y,z'
'-x,-y,-z'
'-x,y+1/2,-z+1/2'
'x,-y+1/2,z+1/2'
loop_
_atom_site_label
_atom_site_type_symbol
_atom_site_fract_x
_atom_site_fract_y
_atom_site_fract_z
_atom_site_occupancy
Sr1 Sr 0.226 0.097 0.308 1
Cu1 Cu 0.414 0.522 0.134 1
Te1 Te 0.500 0.000 0.000 1
Br1 Br 0.110 0.606 0.166 1
O1 O 0.333 0.196 0.054 1
O2 O 0.377 0.708 0.954 1
O3 O 0.475 0.166 0.808 1
```

Calculated values
ΔE_f (raw) = -1678.3 meV/atom
total energy = -420.6 eV for the cell shown

Entry 5:
DFT (SCAN) results for a PBEsol-optimized structure of Cu2Te2Br2O5.

```
data_Cu2Te2Br2O5
_cell_length_a 7.714
_cell_length_b 7.714
_cell_length_c 6.375
_cell_angle_alpha 90.00
_cell_angle_beta 90.00
_cell_angle_gamma 90.00
_symmetry_space_group_name_H-M 'P -4'
_symmetry_Int_Tables_number 81
loop_
_symmetry_equiv_pos_as_xyz
'x,y,z'
'y,-x,-z'
'-x,-y,z'
'-y,x,-z'
loop_
_atom_site_label
_atom_site_type_symbol
_atom_site_fract_x
_atom_site_fract_y
_atom_site_fract_z
_atom_site_occupancy
Cu1 Cu 0.036 0.774 0.151 1
Te1 Te 0.144 0.681 0.632 1
Br1 Br 0.273 0.582 0.189 1
O1 O 0.000 0.500 0.759 1
O2 O 0.036 0.259 0.438 1
O3 O 0.072 0.831 0.859 1
```

Calculated values
ΔE_f (raw) = -870.6 meV/atom
total energy = -369.1 eV for the cell shown

Entry 6:
DFT (SCAN) results for a PBEsol-optimized structure of Cu3Te2Br2O6.

```
data_Cu3Te2Br2O6
_cell_length_a 9.403
_cell_length_b 6.209
_cell_length_c 8.054
_cell_angle_alpha 90.00
_cell_angle_beta 104.98
_cell_angle_gamma 90.00
_symmetry_space_group_name_H-M 'C 1 2/m 1'
_symmetry_Int_Tables_number 12
loop_
_symmetry_equiv_pos_as_xyz
'x,y,z'
'-x,-y,-z'
'-x,y,-z'
'x,-y,z'
'x+1/2,y+1/2,z'
'-x+1/2,-y+1/2,-z'
'-x+1/2,y+1/2,-z'
'x+1/2,-y+1/2,z'
loop_
_atom_site_label
_atom_site_type_symbol
_atom_site_fract_x
_atom_site_fract_y
_atom_site_fract_z
_atom_site_occupancy
Cu1 Cu 0.000 0.000 0.000 1
Cu2 Cu 0.094 0.500 0.870 1
Te1 Te 0.174 0.000 0.735 1
Br1 Br 0.208 0.500 0.636 1
O1 O 0.086 0.195 0.870 1
O2 O 0.134 0.500 0.128 1
```

Calculated values
ΔE_f (raw) = -862.3 meV/atom
total energy = -415.2 eV for the cell shown